Material: NpGaTe4
Method: DFT, GGA-PBE
State: optimized geometry Values from VASP.

Structure (Quantum ESPRESSO input):
```
&SYSTEM
  ibrav = 0, nat = 12, ntyp = 3
/
ATOMIC_SPECIES
Np 237.00 Np.upf
Ga 69.72 Ga.upf
Te 127.60 Te.upf
ATOMIC_POSITIONS angstrom
Np -1.7793 4.5202 7.2056
Np 4.6832 2.3713 2.4019
Ga 5.4644 -0.0958 7.2056
Ga -2.5605 6.9872 2.4019
Te 1.3611 4.4633 7.2056
Te 1.5428 2.4282 2.4019
Te 1.8655 0.4183 7.2056
Te 1.0384 6.4731 2.4019
Te -1.6993 5.1522 0.6194
Te 4.6032 1.7393 5.4232
Te -1.6993 5.1522 4.1843
Te 4.6032 1.7393 8.9881
CELL_PARAMETERS angstrom
6.2124 -0.1929 0.0000
-3.3085 7.0843 0.0000
0.0000 0.0000 9.6075
```

Properties
Raw formation energy ... -265 meV/atom
V ... 34.725 Å³/atom
Space group ... No. 11
Density ... 6.5 g cm⁻³